A plane-wave DFT calculation with PBE was carried out for a relaxed structure of HfGeTe.

a = 3.8921 Å, b = 3.8921 Å, c = 8.5467 Å
α = 90.00°, β = 90.00°, γ = 90.00°
Space group P4/nmm (No. 129, origin choice 2)
Unique sites:
Hf 0.2500 0.2500 0.2467 [2 per cell]
Ge 0.2500 0.7500 0.0000 [2 per cell]
Te 0.2500 0.2500 0.6212 [2 per cell]

Summary:
**Theoretical density**: 9.71 Mg/m³
**Total DFT energy (no corrections)**: -39.433 eV for the cell shown
**Formation energy from raw total energies**: -668 meV/atom
**Crystal system**: tetragonal